Compound: CsIr2O6
Source: the Alexandria database
Functional: GGA-PBE
Structure: optimized geometry

a b c (Å): 7.254 7.254 7.254
angles (deg): 60.00 60.00 60.00
Atoms (fractional coordinates):
O 0.807 0.193 0.193
O 0.057 0.057 0.443
O 0.807 0.807 0.193
O 0.193 0.193 0.807
O 0.057 0.443 0.443
O 0.443 0.057 0.443
O 0.193 0.807 0.807
O 0.057 0.443 0.057
O 0.193 0.807 0.193
O 0.443 0.443 0.057
O 0.807 0.193 0.807
O 0.443 0.057 0.057
Ir 0.125 0.125 0.125
Ir 0.625 0.125 0.125
Ir 0.125 0.625 0.125
Ir 0.125 0.125 0.625
Cs 0.750 0.750 0.750
Cs 0.500 0.500 0.500

Electronic total energy, eV/atom: -6.285